Here is MnPPt at its PBEsol-relaxed geometry from Alexandria via LeMat-Bulk. Energies are from meta-GGA SCAN.

Unit cell a=3.983 b=3.983 c=3.115 alpha=90.00 beta=90.00 gamma=120.00
Fractional coordinates of all 3 atoms:
Mn  0.000  0.000  0.000
P  0.333  0.667  0.500
Pt  0.667  0.333  0.500

Properties
Size of the total moment: 1.289 μB per atom
SG: P-6m2, No. 187
Crystal system: hexagonal
DFT formation energy: -1.662 eV/f.u.